The following is a DFT calculation (PBE) of crystalline Sr3SmTl12 at its relaxed geometry.

Results
E_form (eV per atom): -0.256
Crystal system: tetragonal
Mass density (g/cm3): 9.838
Total DFT energy (no corrections) (eV for the cell shown): -42.3
Size of the total moment (μB per formula unit): 0.000

Structure (POSCAR):
```
Sr3SmTl12
1.0
4.970 0.000 0.000
0.000 4.970 0.000
0.000 0.000 19.582
Sr Sm Tl
3 1 12
Cartesian
0.000 0.000 4.777 Sr
0.000 0.000 9.791 Sr
0.000 0.000 14.804 Sr
0.000 0.000 0.000 Sm
2.485 2.485 0.000 Tl
2.485 2.485 4.864 Tl
2.485 2.485 9.791 Tl
2.485 2.485 14.718 Tl
2.485 0.000 2.328 Tl
2.485 0.000 7.295 Tl
2.485 0.000 12.287 Tl
2.485 0.000 17.254 Tl
0.000 2.485 2.328 Tl
0.000 2.485 7.295 Tl
0.000 2.485 12.287 Tl
0.000 2.485 17.254 Tl
```

***

The following is a DFT calculation (PBE) of crystalline BeCdN2O at its relaxed geometry.

Results
Crystal system: tetragonal
Mass density (g/cm3): 3.713
Total DFT energy (no corrections) (eV for the cell shown): -16.2
Size of the total moment (μB per formula unit): 2.778

Structure (POSCAR):
```
BeCdN2O
1.0
4.210 0.000 0.000
0.000 4.210 0.000
0.000 0.000 4.174
Be N O Cd
1 2 1 1
Cartesian
2.105 2.105 2.087 Be
0.000 2.105 0.000 N
2.105 0.000 0.000 N
0.000 0.000 2.087 O
0.000 0.000 0.000 Cd
```

***

Number 2 is which compound?
BeCdN2O

***

Look up the size of the total moment of the second one.
2.778 μB per formula unit